Record 1
# Cs3Sb2I9 (PBE-GGA, relaxed)
# excess energy over the best structure of this formula in the dataset = 0.000 eV/atom
# calculated volume = 49.36 Å³ per atom
# theoretical density = 4.3 g/cm3
# ΔE_f (raw) = -0.90 eV/atom
# DOS(E_F) = 0.00 states/eV/atom
data_Cs3Sb2I9
_chemical_formula_sum 'Cs6 Sb4 I18'
_cell_length_a 8.5641
_cell_length_b 8.5641
_cell_length_c 21.7606
_cell_angle_alpha 90.00
_cell_angle_beta 90.00
_cell_angle_gamma 120.00
_symmetry_space_group_name_H-M 'P 63/m m c'
_symmetry_Int_Tables_number 194
_symmetry_space_group_name_Hall '-P 6c 2c'
loop_
_atom_site_label
_atom_site_fract_x
_atom_site_fract_y
_atom_site_fract_z
Cs1 0.0000 0.0000 0.2500
Cs2 0.3333 0.6667 0.0728
Sb1 0.3333 0.6667 0.6573
I1 0.0026 0.5013 0.2500
I2 0.1677 0.3355 0.5839

Record 2
# ScCd2Ge2 (PBE-GGA, relaxed)
# excess energy over the best structure of this formula in the dataset = 0.000 eV/atom
# formation enthalpy at 0 K = -0.0925 eV per atom
# calculated volume = 21.52 Å³ per atom
# theoretical density = 6.4 g/cm3
# DOS(E_F) = 0.52 states/eV/atom
data_ScCd2Ge2
_chemical_formula_sum 'Sc2 Cd4 Ge4'
_cell_length_a 7.158
_cell_length_b 7.158
_cell_length_c 4.200
_cell_angle_alpha 90.00
_cell_angle_beta 90.00
_cell_angle_gamma 90.00
_symmetry_space_group_name_H-M 'P 4/m b m'
_symmetry_Int_Tables_number 127
_symmetry_space_group_name_Hall '-P 4 2ab'
loop_
_atom_site_label
_atom_site_fract_x
_atom_site_fract_y
_atom_site_fract_z
Sc1 0.000 0.000 0.000
Cd1 0.178 0.322 0.500
Ge1 0.127 0.627 0.000

Record 3
# ZrZn2As (PBE-GGA, relaxed)
# formation enthalpy at 0 K = -0.1153 eV per atom
# calculated volume = 18.92 Å³ per atom
# theoretical density = 6.5 g/cm3
# DOS(E_F) = 0.46 states/eV/atom
data_ZrZn2As
_chemical_formula_sum 'Zr1 Zn2 As1'
_cell_length_a 2.952
_cell_length_b 2.952
_cell_length_c 8.685
_cell_angle_alpha 90.00
_cell_angle_beta 90.00
_cell_angle_gamma 90.00
_symmetry_space_group_name_H-M 'P 4 m m'
_symmetry_Int_Tables_number 99
loop_
_symmetry_equiv_pos_as_xyz
'x,y,z'
'-y,x,z'
'-x,-y,z'
'y,-x,z'
'-x,y,z'
'y,x,z'
'x,-y,z'
'-y,-x,z'
loop_
_atom_site_label
_atom_site_fract_x
_atom_site_fract_y
_atom_site_fract_z
Zr1 0.000 0.000 0.000
Zn1 0.000 0.000 0.559
Zn2 0.500 0.500 0.752
As1 0.500 0.500 0.238

Record 4
# PuTi4S8 (PBE-GGA, relaxed)
# excess energy over the best structure of this formula in the dataset = 0.177 eV/atom
# calculated volume = 21.60 Å³ per atom
# theoretical density = 4.1 g/cm3
# ΔE_f (raw) = -1.28 eV/atom
# DOS(E_F) = 1.64 states/eV/atom
data_PuTi4S8
_chemical_formula_sum 'Pu4 Ti16 S32'
_cell_length_a 10.395
_cell_length_b 10.395
_cell_length_c 10.395
_cell_angle_alpha 90.00
_cell_angle_beta 90.00
_cell_angle_gamma 90.00
_symmetry_space_group_name_H-M 'F -4 3 m'
_symmetry_Int_Tables_number 216
_symmetry_space_group_name_Hall 'F -4 2 3'
loop_
_atom_site_label
_atom_site_fract_x
_atom_site_fract_y
_atom_site_fract_z
Pu1 0.000 0.000 0.000
Ti1 0.113 0.113 0.387
S1 0.120 0.120 0.620
S2 0.144 0.144 0.144